1.
An optimized crystal structure of TmZr2Ni. Source: Alexandria via LeMat-Bulk, functional PBE-GGA.

a = 3.293 Å, b = 3.293 Å, c = 7.774 Å
α = 90.00°, β = 90.00°, γ = 90.00°
Positions (direct):
Ni 0.500 0.500 0.000
Tm 0.500 0.500 0.500
Zr 0.000 0.000 0.800
Zr 0.000 0.000 0.200

## Properties
As for the total energy: -27.68 eV/f.u. As for the space group: No. 123. The distance to the lowest polymorph of the same formula is 111.7 meV per atom. As for the density of states at the Fermi level: 1.704 states/eV/atom. As for the crystal system: tetragonal.



2.
An optimized crystal structure of CuHW. Source: Alexandria via LeMat-Bulk, functional PBE-GGA.

a = 2.744 Å, b = 4.815 Å, c = 4.973 Å
α = 98.89°, β = 106.11°, γ = 89.95°
Positions (direct):
Cu 0.615 0.881 0.229
Cu 0.385 0.119 0.771
H 0.737 0.264 0.474
H 0.263 0.736 0.526
W 0.886 0.620 0.772
W 0.114 0.380 0.228

## Properties
As for the total energy: -19.59 eV/f.u. As for the space group: No. 2. The distance to the lowest polymorph of the same formula is 23.9 meV per atom. As for the density of states at the Fermi level: 0.315 states/eV/atom. As for the crystal system: triclinic.



3.
An optimized crystal structure of BaSiAs. Source: Alexandria via LeMat-Bulk, functional PBE-GGA.

a = 4.534 Å, b = 4.534 Å, c = 4.806 Å
α = 90.00°, β = 90.00°, γ = 120.00°
Positions (direct):
As 0.000 0.000 0.833
Ba 0.667 0.333 0.333
Si 0.333 0.667 0.834

## Properties
As for the total energy: -13.54 eV/f.u. For the formation energy (no corrections), the calculation gives -0.51 eV per atom. As for the space group: No. 187. The distance to the lowest polymorph of the same formula is 79.4 meV per atom. As for the density of states at the Fermi level: 0.349 states/eV/atom. As for the crystal system: hexagonal.



4.
An optimized crystal structure of La8Dy2Er3. Source: Alexandria via LeMat-Bulk, functional PBE-GGA.

a = 6.147 Å, b = 11.804 Å, c = 9.022 Å
α = 130.86°, β = 72.93°, γ = 90.00°
Positions (direct):
La 0.736 0.415 0.829
La 0.264 0.585 0.171
La 0.115 0.861 0.723
La 0.885 0.139 0.277
La 0.352 0.923 0.322
La 0.352 0.398 0.322
La 0.648 0.602 0.678
La 0.648 0.077 0.678
Dy 0.681 0.686 0.371
Dy 0.319 0.314 0.629
Er 0.500 0.000 0.000
Er 0.000 0.272 0.000
Er 0.000 0.728 0.000

## Properties
As for the total energy: -60.47 eV/f.u. As for the space group: No. 12. The distance to the lowest polymorph of the same formula is 0.0 meV per atom. As for the density of states at the Fermi level: 1.611 states/eV/atom. As for the crystal system: monoclinic.



5.
An optimized crystal structure of Ta6MnV2. Source: Alexandria via LeMat-Bulk, functional PBE-GGA.

a = 4.295 Å, b = 6.078 Å, c = 7.414 Å
α = 114.20°, β = 106.93°, γ = 90.00°
Positions (direct):
Ta 0.164 0.411 0.328
Ta 0.836 0.083 0.672
Ta 0.836 0.589 0.672
Ta 0.500 0.245 0.000
Ta 0.164 0.917 0.328
Ta 0.500 0.755 0.000
Mn 0.000 0.000 0.000
V 0.666 0.666 0.331
V 0.334 0.334 0.669

## Properties
As for the total energy: -93.20 eV/f.u. As for the space group: No. 12. As for the density of states at the Fermi level: 1.159 states/eV/atom. As for the crystal system: monoclinic.



6.
An optimized crystal structure of Pm6Pr2Ho3. Source: Alexandria via LeMat-Bulk, functional PBE-GGA.

a = 6.222 Å, b = 6.228 Å, c = 11.835 Å
α = 84.91°, β = 79.76°, γ = 60.04°
Positions (direct):
Pm 0.416 0.668 0.753
Pm 0.748 0.000 0.753
Pm 0.083 0.332 0.753
Pm 0.252 0.000 0.247
Pm 0.584 0.332 0.247
Pm 0.917 0.668 0.247
Pr 0.167 0.667 0.500
Pr 0.833 0.333 0.500
Ho 0.000 0.000 0.000
Ho 0.335 0.331 0.000
Ho 0.665 0.669 0.000

## Properties
As for the total energy: -49.96 eV/f.u. As for the space group: No. 12. The distance to the lowest polymorph of the same formula is 0.0 meV per atom. As for the density of states at the Fermi level: 1.492 states/eV/atom. As for the crystal system: monoclinic.



7.
An optimized crystal structure of CsTl2O3. Source: Alexandria via LeMat-Bulk, functional PBE-GGA.

a = 6.953 Å, b = 6.953 Å, c = 8.258 Å
α = 65.10°, β = 65.10°, γ = 60.00°
Positions (direct):
Cs 0.839 0.839 0.482
Cs 0.161 0.161 0.518
Tl 0.000 0.000 0.000
Tl 0.000 0.500 0.000
Tl 0.500 0.500 0.000
Tl 0.500 0.000 0.000
O 0.279 0.779 0.163
O 0.779 0.279 0.163
O 0.779 0.779 0.163
O 0.221 0.721 0.837
O 0.721 0.221 0.837
O 0.221 0.221 0.837

## Properties
As for the total energy: -24.14 eV/f.u. For the formation energy (no corrections), the calculation gives -0.61 eV per atom. As for the space group: No. 166. As for the density of states at the Fermi level: 0.317 states/eV/atom. As for the crystal system: trigonal.



8.
An optimized crystal structure of Ac2In3Pb. Source: Alexandria via LeMat-Bulk, functional PBE-GGA.

a = 4.928 Å, b = 6.725 Å, c = 6.788 Å
α = 71.75°, β = 68.72°, γ = 68.51°
Positions (direct):
Ac 0.559 0.193 0.690
Ac 0.441 0.808 0.310
In 0.831 0.613 0.724
In 0.850 0.204 0.096
In 0.162 0.790 0.886
Pb 0.157 0.391 0.294

## Properties
As for the total energy: -22.80 eV/f.u. As for the space group: No. 8. The distance to the lowest polymorph of the same formula is 0.0 meV per atom. As for the density of states at the Fermi level: 0.773 states/eV/atom. As for the crystal system: monoclinic.



9.
An optimized crystal structure of BaTlPd3. Source: Alexandria via LeMat-Bulk, functional PBE-GGA.

a = 5.185 Å, b = 5.185 Å, c = 5.185 Å
α = 90.00°, β = 90.00°, γ = 90.00°
Positions (direct):
Tl 0.000 0.000 0.000
Ba 0.500 0.500 0.500
Pd 0.000 0.500 0.000
Pd 0.000 0.000 0.500
Pd 0.500 0.000 0.000

## Properties
As for the total energy: -19.88 eV/f.u. As for the space group: No. 221. The distance to the lowest polymorph of the same formula is 403.9 meV per atom. As for the density of states at the Fermi level: 0.794 states/eV/atom. As for the crystal system: cubic.



10.
An optimized crystal structure of GdTlTe2. Source: Alexandria via LeMat-Bulk, functional PBE-GGA.

a = 3.898 Å, b = 3.898 Å, c = 8.288 Å
α = 90.00°, β = 90.00°, γ = 90.00°
Positions (direct):
Tl 0.500 0.500 0.500
Gd 0.500 0.500 0.000
Te 0.000 0.000 0.785
Te 0.000 0.000 0.215

## Properties
As for the total energy: -26.37 eV/f.u. For the formation energy (no corrections), the calculation gives -0.91 eV per atom. As for the space group: No. 123. As for the density of states at the Fermi level: 0.529 states/eV/atom. As for the crystal system: tetragonal.



11.
An optimized crystal structure of Pm12PtAu6. Source: Alexandria via LeMat-Bulk, functional PBE-GGA.

a = 8.606 Å, b = 8.606 Å, c = 8.606 Å
α = 99.12°, β = 99.12°, γ = 99.12°
Positions (direct):
Pm 0.819 0.574 0.421
Pm 0.421 0.819 0.574
Pm 0.574 0.421 0.819
Pm 0.181 0.426 0.579
Pm 0.579 0.181 0.426
Pm 0.426 0.579 0.181
Pm 0.069 0.954 0.320
Pm 0.046 0.680 0.931
Pm 0.680 0.931 0.046
Pm 0.931 0.046 0.680
Pm 0.954 0.320 0.069
Pm 0.320 0.069 0.954
Pt 0.000 0.000 0.000
Au 0.695 0.866 0.379
Au 0.621 0.305 0.134
Au 0.134 0.621 0.305
Au 0.305 0.134 0.621
Au 0.379 0.695 0.866
Au 0.866 0.379 0.695

## Properties
As for the total energy: -92.18 eV/f.u. As for the space group: No. 148. As for the density of states at the Fermi level: 1.169 states/eV/atom. As for the crystal system: trigonal.



12.
An optimized crystal structure of RbTeNO2. Source: Alexandria via LeMat-Bulk, functional PBE-GGA.

a = 4.200 Å, b = 4.200 Å, c = 4.038 Å
α = 90.00°, β = 90.00°, γ = 90.00°
Positions (direct):
Te 0.000 0.000 0.000
O 0.000 0.500 0.000
O 0.500 0.000 0.000
Rb 0.500 0.500 0.500
N 0.000 0.000 0.500

## Properties
As for the total energy: -23.66 eV/f.u. For the formation energy (no corrections), the calculation gives -0.26 eV per atom. As for the space group: No. 123. As for the density of states at the Fermi level: 0.623 states/eV/atom. As for the crystal system: tetragonal.